#i
The following is a DFT calculation (PBE) of KLi3Ta after structural relaxation.

Calculated values
Crystal system   cubic
DOS(E_F)   0.520 states/eV per atom

Geometry as extended XYZ:
```
5
Lattice="4.7190 0.0000 0.0000 0.0000 4.7190 0.0000 0.0000 0.0000 4.7190" Properties=species:S:1:pos:R:3 pbc="T T T"
K 0.0000 0.0000 0.0000
Li 0.0000 0.0000 2.3595
Li 0.0000 2.3595 0.0000
Li 2.3595 0.0000 0.0000
Ta 2.3595 2.3595 2.3595
```

#ii
The following is a DFT calculation (PBE) of KLi3Ta after structural relaxation.

Calculated values
Crystal system   cubic
DOS(E_F)   0.659 states/eV per atom

Geometry as extended XYZ:
```
5
Lattice="5.5109 0.0000 0.0000 0.0000 5.5109 0.0000 0.0000 0.0000 5.5109" Properties=species:S:1:pos:R:3 pbc="T T T"
K 2.7554 2.7554 2.7554
Ta 0.0000 0.0000 0.0000
Li 0.0000 2.7554 0.0000
Li 2.7554 0.0000 0.0000
Li 0.0000 0.0000 2.7554
```

Stability check: which of them is least stable? #i.